Entry 1:
Density functional theory data (meta-GGA SCAN) for a PBEsol-optimized structure of NiSeBr2.

Unit cell a=3.458 b=3.755 c=7.685 alpha=97.47 beta=90.00 gamma=117.41
Fractional positions:
Se 0.836 0.673 0.319
Br 0.980 0.960 0.044
Ni 0.513 0.027 0.478
Br 0.170 0.340 0.660

Calculated values
The value obtained for the electronic total energy is -19.0425 eV/atom. As for the space group: Cm. For the formation energy without anion corrections, the calculation gives -0.25 eV per atom. The calculation puts the mass density at 5.64 g cm⁻³. The calculation puts the calculated volume at 87.6 Å³/f.u.

Entry 2:
Density functional theory data (meta-GGA SCAN) for a PBEsol-optimized structure of NiSeBr.

Unit cell a=3.474 b=3.474 c=5.482 alpha=90.00 beta=90.00 gamma=120.00
Fractional positions:
Br 0.000 0.000 0.922
Se 0.333 0.667 0.425
Ni 0.667 0.333 0.652

Calculated values
The value obtained for the electronic total energy is -18.8226 eV/atom. As for the space group: P3m1. For the formation energy without anion corrections, the calculation gives -0.25 eV per atom. The calculation puts the mass density at 6.30 g cm⁻³. The calculation puts the calculated volume at 57.3 Å³/f.u.

Entry 3:
Density functional theory data (meta-GGA SCAN) for a PBEsol-optimized structure of NiSeBr.

Unit cell a=4.462 b=4.462 c=4.462 alpha=60.00 beta=60.00 gamma=60.00
Fractional positions:
Br 0.000 0.000 0.000
Ni 0.500 0.500 0.500
Se 0.250 0.250 0.250

Calculated values
The value obtained for the electronic total energy is -17.6000 eV/atom. As for the space group: F-43m. For the formation energy without anion corrections, the calculation gives 0.97 eV per atom. The calculation puts the mass density at 5.75 g cm⁻³. The calculation puts the calculated volume at 62.8 Å³/f.u.

Entry 4:
Density functional theory data (meta-GGA SCAN) for a PBEsol-optimized structure of NiSnSeBr2.

Unit cell a=5.290 b=5.385 c=5.385 alpha=90.00 beta=90.00 gamma=90.00
Fractional positions:
Sn 0.000 0.000 0.000
Se 0.500 0.000 0.000
Br 0.000 0.500 0.000
Ni 0.500 0.500 0.500
Br 0.000 0.000 0.500

Calculated values
The value obtained for the electronic total energy is -21.7922 eV/atom. As for the space group: P4/mmm. For the formation energy without anion corrections, the calculation gives 0.43 eV per atom. The calculation puts the mass density at 4.51 g cm⁻³. The calculation puts the calculated volume at 153.4 Å³/f.u.

Entry 5:
Density functional theory data (meta-GGA SCAN) for a PBEsol-optimized structure of TiNiSe2Br.

Unit cell a=4.655 b=4.655 c=4.638 alpha=90.00 beta=90.00 gamma=90.00
Fractional positions:
Se 0.000 0.500 0.000
Ti 0.500 0.500 0.500
Ni 0.000 0.000 0.000
Br 0.000 0.000 0.500
Se 0.500 0.000 0.000

Calculated values
The value obtained for the electronic total energy is -18.3145 eV/atom. As for the space group: P4/mmm. For the formation energy without anion corrections, the calculation gives 0.05 eV per atom. The calculation puts the mass density at 5.69 g cm⁻³. The calculation puts the calculated volume at 100.5 Å³/f.u.

Entry 6:
Density functional theory data (meta-GGA SCAN) for a PBEsol-optimized structure of TlNiSe2Br.

Unit cell a=4.673 b=4.673 c=5.191 alpha=90.00 beta=90.00 gamma=90.00
Fractional positions:
Br 0.000 0.000 0.500
Se 0.500 0.000 0.000
Se 0.000 0.500 0.000
Ni 0.000 0.000 0.000
Tl 0.500 0.500 0.500

Calculated values
The value obtained for the electronic total energy is -29.6886 eV/atom. As for the space group: P4/mmm. For the formation energy without anion corrections, the calculation gives -0.06 eV per atom. The calculation puts the mass density at 7.34 g cm⁻³. The calculation puts the calculated volume at 113.4 Å³/f.u.

Entry 7:
Density functional theory data (meta-GGA SCAN) for a PBEsol-optimized structure of NiWSeBr2.

Unit cell a=4.794 b=5.017 c=5.017 alpha=90.00 beta=90.00 gamma=90.00
Fractional positions:
Ni 0.500 0.500 0.500
Se 0.500 0.000 0.000
Br 0.000 0.500 0.000
Br 0.000 0.000 0.500
W 0.000 0.000 0.000

Calculated values
The value obtained for the electronic total energy is -28.1323 eV/atom. As for the space group: P4/mmm. For the formation energy without anion corrections, the calculation gives 0.84 eV per atom. The calculation puts the mass density at 6.62 g cm⁻³. The calculation puts the calculated volume at 120.7 Å³/f.u.

Entry 8:
Density functional theory data (meta-GGA SCAN) for a PBEsol-optimized structure of SiNiBr2.

Unit cell a=3.530 b=3.495 c=7.932 alpha=90.00 beta=90.00 gamma=120.34
Fractional positions:
Br 0.500 0.000 0.328
Br 0.000 0.000 0.946
Si 0.500 0.000 0.695
Ni 0.000 0.000 0.531

Calculated values
The value obtained for the electronic total energy is -16.1638 eV/atom. As for the space group: Cmm2. For the formation energy without anion corrections, the calculation gives 0.11 eV per atom. The calculation puts the mass density at 4.85 g cm⁻³. The calculation puts the calculated volume at 84.5 Å³/f.u. The calculation puts the relative energy among the computed polymorphs at 0.20 eV/f.u.

Entry 9:
Density functional theory data (meta-GGA SCAN) for a PBEsol-optimized structure of Si2NiBr.

Unit cell a=3.330 b=3.992 c=6.154 alpha=83.49 beta=74.30 gamma=65.35
Fractional positions:
Ni 0.205 0.433 0.157
Si 0.774 0.598 0.854
Br 0.542 0.451 0.465
Si 0.980 0.018 0.023

Calculated values
The value obtained for the electronic total energy is -13.7445 eV/atom. As for the space group: Cm. For the formation energy without anion corrections, the calculation gives 0.17 eV per atom. The calculation puts the mass density at 4.52 g cm⁻³. The calculation puts the calculated volume at 71.6 Å³/f.u. The calculation puts the relative energy among the computed polymorphs at 0.00 eV/f.u.

Entry 10:
Density functional theory data (meta-GGA SCAN) for a PBEsol-optimized structure of SiNiBr2.

Unit cell a=3.389 b=3.413 c=7.409 alpha=103.31 beta=103.22 gamma=90.00
Fractional positions:
Br 0.350 0.350 0.701
Ni 0.500 0.000 0.000
Br 0.650 0.650 0.299
Si 0.000 0.500 0.000

Calculated values
The value obtained for the electronic total energy is -16.2143 eV/atom. As for the space group: Immm. For the formation energy without anion corrections, the calculation gives 0.06 eV per atom. The calculation puts the mass density at 5.05 g cm⁻³. The calculation puts the calculated volume at 81.1 Å³/f.u. The calculation puts the relative energy among the computed polymorphs at 0.00 eV/f.u.

Entry 11:
Density functional theory data (meta-GGA SCAN) for a PBEsol-optimized structure of Si2NiBr.

Unit cell a=3.160 b=3.160 c=6.718 alpha=90.00 beta=90.00 gamma=90.00
Fractional positions:
Si 0.500 0.500 0.157
Si 0.000 0.000 0.964
Br 0.000 0.000 0.569
Ni 0.500 0.500 0.810

Calculated values
The value obtained for the electronic total energy is -13.5979 eV/atom. As for the space group: P4mm. For the formation energy without anion corrections, the calculation gives 0.32 eV per atom. The calculation puts the mass density at 4.82 g cm⁻³. The calculation puts the calculated volume at 67.1 Å³/f.u. The calculation puts the relative energy among the computed polymorphs at 0.59 eV/f.u.

Entry 12:
Density functional theory data (meta-GGA SCAN) for a PBEsol-optimized structure of SiNiBr.

Unit cell a=4.283 b=4.283 c=4.283 alpha=60.00 beta=60.00 gamma=60.00
Fractional positions:
Si 0.500 0.500 0.500
Ni 0.000 0.000 0.000
Br 0.250 0.250 0.250

Calculated values
The value obtained for the electronic total energy is -13.8812 eV/atom. As for the space group: F-43m. For the formation energy without anion corrections, the calculation gives 1.34 eV per atom. The calculation puts the mass density at 4.98 g cm⁻³. The calculation puts the calculated volume at 55.5 Å³/f.u.

Entry 13:
Density functional theory data (meta-GGA SCAN) for a PBEsol-optimized structure of YSiNi2Br.

Unit cell a=4.226 b=4.226 c=5.563 alpha=90.00 beta=90.00 gamma=90.00
Fractional positions:
Si 0.000 0.000 0.000
Ni 0.000 0.500 0.000
Y 0.000 0.000 0.500
Br 0.500 0.500 0.500
Ni 0.500 0.000 0.000

Calculated values
The value obtained for the electronic total energy is -18.0560 eV/atom. As for the space group: P4/mmm. For the formation energy without anion corrections, the calculation gives -0.12 eV per atom. The calculation puts the mass density at 5.25 g cm⁻³. The calculation puts the calculated volume at 99.3 Å³/f.u.

Entry 14:
Density functional theory data (meta-GGA SCAN) for a PBEsol-optimized structure of Ni2SnBr.

Unit cell a=4.487 b=4.487 c=4.487 alpha=60.00 beta=60.00 gamma=60.00
Fractional positions:
Ni 0.250 0.250 0.250
Sn 0.500 0.500 0.500
Br 0.000 0.000 0.000
Ni 0.750 0.750 0.750

Calculated values
The value obtained for the electronic total energy is -21.3659 eV/atom. As for the space group: Fm-3m. For the formation energy without anion corrections, the calculation gives 0.57 eV per atom. The calculation puts the mass density at 8.22 g cm⁻³. The calculation puts the calculated volume at 63.9 Å³/f.u.

Entry 15:
Density functional theory data (meta-GGA SCAN) for a PBEsol-optimized structure of Sr2NiBr.

Unit cell a=5.315 b=5.315 c=5.315 alpha=60.00 beta=60.00 gamma=60.00
Fractional positions:
Sr 0.750 0.750 0.750
Sr 0.250 0.250 0.250
Ni 0.000 0.000 0.000
Br 0.500 0.500 0.500

Calculated values
The value obtained for the electronic total energy is -20.4916 eV/atom. As for the space group: Fm-3m. For the formation energy without anion corrections, the calculation gives -0.45 eV per atom. The calculation puts the mass density at 4.91 g cm⁻³. The calculation puts the calculated volume at 106.2 Å³/f.u.